# CuSeBr (PBE, relaxed)
data_CuSeBr
_symmetry_space_group_name_H-M 'F m m 2'
_symmetry_Int_Tables_number 42
_symmetry_space_group_name_Hall 'F 2 -2'
_cell_length_a 3.3888
_cell_length_b 8.2182
_cell_length_c 13.1670
_cell_angle_alpha 90.00
_cell_angle_beta 90.00
_cell_angle_gamma 90.00
loop_
_atom_site_label
_atom_site_type_symbol
_atom_site_fract_x
_atom_site_fract_y
_atom_site_fract_z
Cu1 Cu 0.0000 0.0000 0.0000
Se1 Se 0.0000 0.0000 0.3780
Br1 Br 0.0000 0.0000 0.6268
# Energy relative to the elements, uncorrected: -0.01 eV per atom

***

# ScTlAu4 (PBE, relaxed)
data_ScTlAu4
_symmetry_space_group_name_H-M 'F -4 3 m'
_symmetry_Int_Tables_number 216
_symmetry_space_group_name_Hall 'F -4 2 3'
_cell_length_a 7.8996
_cell_length_b 7.8996
_cell_length_c 7.8996
_cell_angle_alpha 90.00
_cell_angle_beta 90.00
_cell_angle_gamma 90.00
loop_
_atom_site_label
_atom_site_type_symbol
_atom_site_fract_x
_atom_site_fract_y
_atom_site_fract_z
Sc1 Sc 0.0000 0.0000 0.0000
Tl1 Tl 0.2500 0.2500 0.7500
Au1 Au 0.1253 0.1253 0.3747
# Formation energy: -0.216 eV/atom

***

| no. | electronic total energy (eV/atom) | M_tot (μB per formula unit) |
| --- | --- | --- |
| 1 | -3.093 | 0.228 |
| 2 | -3.850 | 0.000 |